(1)
K3Y3SiO8 | PBE | optimized geometry

## Properties
Density in g/cm³: 3.7
Energy in eV/atom: -7.145
Formation energy without anion corrections in eV per atom: -2.627

abc: 6.648 6.648 7.366
angles: 116.84 90.00 120.00
Atoms (fractional coordinates):
K (0.000, 0.000, 0.000)
K (0.000, 0.500, 0.000)
K (0.500, 0.500, 0.000)
Y (0.500, 0.000, 0.500)
Y (0.500, 0.500, 0.500)
Y (0.000, 0.500, 0.500)
Si (0.000, 0.000, 0.500)
O (0.272, 0.544, 0.315)
O (0.728, 0.456, 0.685)
O (0.806, 0.612, 0.336)
O (0.194, 0.388, 0.664)
O (0.806, 0.030, 0.336)
O (0.194, 0.970, 0.664)
O (0.224, 0.030, 0.336)
O (0.776, 0.970, 0.664)



(2)
K2YSiO4 | PBE | optimized geometry

## Properties
Density in g/cm³: 2.1
Energy in eV/atom: -6.398
Formation energy without anion corrections in eV per atom: -2.158

abc: 5.649 6.840 11.815
angles: 84.33 76.17 65.61
Atoms (fractional coordinates):
K (0.185, 0.000, 0.630)
K (0.815, 0.000, 0.370)
K (0.565, 0.500, 0.870)
K (0.935, 0.500, 0.130)
Y (0.750, 0.500, 0.500)
Y (0.000, 0.000, 0.000)
Si (0.250, 0.500, 0.500)
Si (0.500, 0.000, 0.000)
O (0.356, 0.841, 0.073)
O (0.270, 0.159, 0.927)
O (0.803, 0.841, 0.927)
O (0.571, 0.159, 0.073)
O (0.394, 0.659, 0.427)
O (0.480, 0.341, 0.573)
O (0.947, 0.659, 0.573)
O (0.179, 0.341, 0.427)



(3)
K2Zn2Si8O19 | PBE | optimized geometry

## Properties
Density in g/cm³: 2.8
Energy in eV/atom: -7.157
Formation energy without anion corrections in eV per atom: -2.565

abc: 7.485 7.485 12.589
angles: 73.90 73.90 40.43
Atoms (fractional coordinates):
K (0.586, 0.660, 0.351)
K (0.340, 0.414, 0.649)
Zn (0.706, 0.694, 0.589)
Zn (0.306, 0.294, 0.411)
Si (0.143, 0.852, 0.168)
Si (0.923, 0.929, 0.426)
Si (0.781, 0.471, 0.075)
Si (0.071, 0.077, 0.574)
Si (0.608, 0.797, 0.841)
Si (0.148, 0.857, 0.832)
Si (0.529, 0.219, 0.925)
Si (0.203, 0.392, 0.159)
O (0.795, 0.552, 0.942)
O (0.448, 0.205, 0.058)
O (0.090, 0.880, 0.300)
O (0.291, 0.224, 0.279)
O (0.120, 0.910, 0.700)
O (0.095, 0.905, 0.500)
O (0.106, 0.681, 0.145)
O (0.461, 0.689, 0.131)
O (0.929, 0.158, 0.100)
O (0.311, 0.539, 0.869)
O (0.602, 0.226, 0.432)
O (0.928, 0.493, 0.137)
O (0.970, 0.668, 0.468)
O (0.319, 0.894, 0.855)
O (0.842, 0.071, 0.900)
O (0.774, 0.398, 0.568)
O (0.776, 0.709, 0.721)
O (0.332, 0.030, 0.532)
O (0.507, 0.072, 0.863)